Computed, not measured: Er2PuCl after structural relaxation at the GGA-PBE level of DFT.

Summary:
**V**: 26.09 A^3/atom
**Raw formation energy**: -584.1 meV/atom
**SG**: R-3m

Cell: 3.5139 3.5139 29.2827 Å, 90.00 90.00 120.00°
Positions (direct):
1 Er 0.0000 0.0000 0.2415
2 Er 0.0000 0.0000 0.7585
3 Er 0.3333 0.6667 0.4251
4 Er 0.3333 0.6667 0.9082
5 Er 0.6667 0.3333 0.0918
6 Er 0.6667 0.3333 0.5749
7 Pu 0.0000 0.0000 0.0000
8 Pu 0.3333 0.6667 0.6667
9 Pu 0.6667 0.3333 0.3333
10 Cl 0.0000 0.0000 0.5000
11 Cl 0.3333 0.6667 0.1667
12 Cl 0.6667 0.3333 0.8333

=====

Computed, not measured: Tm2Be2GeRh5 after structural relaxation at the GGA-PBE level of DFT.

Summary:
**V**: 14.61 A^3/atom
**Energy of formation from the pure elements**: -0.85 eV/atom
**SG**: P4/mbm

Cell: 9.6024 9.6024 3.1690 Å, 90.00 90.00 90.00°
Positions (direct):
1 Tm 0.1755 0.3245 0.0000
2 Tm 0.3245 0.8245 0.0000
3 Tm 0.6755 0.1755 0.0000
4 Tm 0.8245 0.6755 0.0000
5 Be 0.1217 0.6217 0.0000
6 Be 0.3783 0.1217 0.0000
7 Be 0.6217 0.8783 0.0000
8 Be 0.8783 0.3783 0.0000
9 Ge 0.0000 0.0000 0.0000
10 Ge 0.5000 0.5000 0.0000
11 Rh 0.0000 0.5000 0.5000
12 Rh 0.0672 0.7912 0.5000
13 Rh 0.2088 0.0672 0.5000
14 Rh 0.2912 0.5672 0.5000
15 Rh 0.4328 0.2912 0.5000
16 Rh 0.5000 0.0000 0.5000
17 Rh 0.5672 0.7088 0.5000
18 Rh 0.7088 0.4328 0.5000
19 Rh 0.7912 0.9328 0.5000
20 Rh 0.9328 0.2088 0.5000

=====

Computed, not measured: KTiPb2 after structural relaxation at the GGA-PBE level of DFT.

Summary:
**V**: 27.31 A^3/atom
**Energy of formation from the pure elements**: 0.37 eV/atom
**Relative energy among the computed polymorphs**: 1.57 eV/f.u.
**SG**: Fm-3m

Cell: 7.5884 7.5884 7.5884 Å, 90.00 90.00 90.00°
Positions (direct):
1 K 0.0000 0.0000 0.0000
2 K 0.0000 0.5000 0.5000
3 K 0.5000 0.0000 0.5000
4 K 0.5000 0.5000 0.0000
5 Ti 0.0000 0.0000 0.5000
6 Ti 0.0000 0.5000 0.0000
7 Ti 0.5000 0.0000 0.0000
8 Ti 0.5000 0.5000 0.5000
9 Pb 0.2500 0.2500 0.2500
10 Pb 0.2500 0.2500 0.7500
11 Pb 0.2500 0.7500 0.2500
12 Pb 0.2500 0.7500 0.7500
13 Pb 0.7500 0.2500 0.2500
14 Pb 0.7500 0.2500 0.7500
15 Pb 0.7500 0.7500 0.2500
16 Pb 0.7500 0.7500 0.7500

=====

Computed, not measured: NpNbH2O6 after structural relaxation at the GGA-PBE level of DFT.

Summary:
**Raw total energy**: -0.29784 Ha/atom
**V**: 12.50 A^3/atom
**SG**: P2_1/c

Cell: 5.5236 5.9378 9.1765 Å, 90.00 123.82 90.00°
Positions (direct):
1 Np 0.0000 0.0000 0.0000
2 Np 0.0000 0.5000 0.5000
3 Nb 0.5000 0.0000 0.5000
4 Nb 0.5000 0.5000 0.0000
5 H 0.4599 0.2287 0.7295
6 H 0.4599 0.2713 0.2295
7 H 0.5401 0.7287 0.7705
8 H 0.5401 0.7713 0.2705
9 O 0.1415 0.0019 0.2582
10 O 0.1415 0.4981 0.7582
11 O 0.3345 0.2248 0.5938
12 O 0.3345 0.2752 0.0938
13 O 0.3396 0.7439 0.5672
14 O 0.3396 0.7561 0.0672
15 O 0.6604 0.2439 0.9328
16 O 0.6604 0.2561 0.4328
17 O 0.6655 0.7248 0.9062
18 O 0.6655 0.7752 0.4062
19 O 0.8585 0.5019 0.2418
20 O 0.8585 0.9981 0.7418

=====

Computed, not measured: LiZr2P3O12 after structural relaxation at the GGA-PBE level of DFT.

Summary:
**V**: 14.59 A^3/atom
**Raw formation energy**: -2695.0 meV/atom
**Relative energy among the computed polymorphs**: 0.17 eV/f.u.
**SG**: C2

Cell: 8.9660 8.9660 9.1286 Å, 119.64 119.64 60.93°
Positions (direct):
1 Li 0.2439 0.2439 0.1938
2 Li 0.7561 0.7561 0.8062
3 Zr 0.2187 0.5592 0.6708
4 Zr 0.4408 0.7813 0.3292
5 Zr 0.7181 0.0638 0.1768
6 Zr 0.9362 0.2819 0.8232
7 P 0.0456 0.9544 0.0000
8 P 0.1113 0.8887 0.5000
9 P 0.3353 0.3796 0.9994
10 P 0.5324 0.1713 0.4852
11 P 0.6204 0.6647 0.0006
12 P 0.8287 0.4676 0.5148
13 O 0.0266 0.1321 0.9909
14 O 0.0715 0.7917 0.8312
15 O 0.0806 0.0571 0.6653
16 O 0.1382 0.7171 0.5224
17 O 0.1816 0.3466 0.0045
18 O 0.2083 0.9285 0.1688
19 O 0.2785 0.4130 0.8272
20 O 0.2829 0.8618 0.4776
21 O 0.3526 0.3312 0.4911
22 O 0.3762 0.5448 0.1647
23 O 0.4552 0.6238 0.8353
24 O 0.5034 0.2093 0.0120
25 O 0.5241 0.0108 0.4965
26 O 0.5347 0.1238 0.2968
27 O 0.5870 0.7215 0.1728
28 O 0.6534 0.8184 0.9955
29 O 0.6688 0.6474 0.5089
30 O 0.6992 0.2231 0.6359
31 O 0.7769 0.3008 0.3641
32 O 0.7907 0.4966 0.9880
33 O 0.8679 0.9734 0.0091
34 O 0.8762 0.4653 0.7032
35 O 0.9429 0.9194 0.3347
36 O 0.9892 0.4759 0.5035

=====

Computed, not measured: SrV2CoIr after structural relaxation at the GGA-PBE level of DFT.

Summary:
**V**: 25.41 A^3/atom
**Energy of formation from the pure elements**: 1.11 eV/atom
**SG**: P4/mmm

Cell: 4.7260 4.7260 5.6875 Å, 90.00 90.00 90.00°
Positions (direct):
1 Sr 0.0000 0.0000 0.0000
2 V 0.0000 0.5000 0.5000
3 V 0.5000 0.0000 0.5000
4 Co 0.5000 0.5000 0.0000
5 Ir 0.0000 0.0000 0.5000

=====

Computed, not measured: Rb2CaPmCl6 after structural relaxation at the GGA-PBE level of DFT.

Summary:
**V**: 33.03 A^3/atom
**Raw formation energy**: -2034.4 meV/atom
**SG**: Pmmn

Cell: 7.7312 10.9751 7.7856 Å, 90.00 90.00 90.00°
Positions (direct):
1 Rb 0.2500 0.9999 0.2499
2 Rb 0.2500 0.5001 0.2499
3 Rb 0.7500 0.0001 0.7501
4 Rb 0.7500 0.4999 0.7501
5 Ca 0.2500 0.2500 0.7492
6 Ca 0.7500 0.7500 0.2508
7 Pm 0.2500 0.7500 0.7509
8 Pm 0.7500 0.2500 0.2491
9 Cl 0.0012 0.2500 0.9962
10 Cl 0.0020 0.2500 0.5014
11 Cl 0.2500 0.0021 0.7505
12 Cl 0.2500 0.4979 0.7505
13 Cl 0.4980 0.2500 0.5014
14 Cl 0.4988 0.2500 0.9962
15 Cl 0.5012 0.7500 0.0038
16 Cl 0.5020 0.7500 0.4986
17 Cl 0.7500 0.5021 0.2495
18 Cl 0.7500 0.9979 0.2495
19 Cl 0.9980 0.7500 0.4986
20 Cl 0.9988 0.7500 0.0038

=====

Computed, not measured: LaDy4Er4 after structural relaxation at the GGA-PBE level of DFT.

Summary:
**V**: 31.94 A^3/atom
**Energy of formation from the pure elements**: 0.04 eV/atom
**Relative energy among the computed polymorphs**: 0.11 eV/f.u.
**SG**: P-1

Cell: 6.7557 8.6416 10.6253 Å, 78.20 74.89 76.25°
Positions (direct):
1 La 0.2409 0.4664 0.2167
2 La 0.7591 0.5336 0.7833
3 Dy 0.0862 0.1631 0.4617
4 Dy 0.3795 0.8340 0.6300
5 Dy 0.3869 0.8408 0.9616
6 Dy 0.3920 0.8388 0.2966
7 Dy 0.6080 0.1612 0.7034
8 Dy 0.6131 0.1592 0.0384
9 Dy 0.6205 0.1660 0.3700
10 Dy 0.9138 0.8369 0.5383
11 Er 0.0800 0.1682 0.7923
12 Er 0.0829 0.1630 0.1234
13 Er 0.2449 0.4765 0.8791
14 Er 0.2465 0.4773 0.5471
15 Er 0.7535 0.5227 0.4529
16 Er 0.7551 0.5235 0.1209
17 Er 0.9171 0.8370 0.8766
18 Er 0.9200 0.8318 0.2077